# 1
{"formula": "HfBe2Pb", "functional": "GGA-PBEsol", "state": "optimized geometry", "e_form_kj_per_mol_atoms": 56.98, "total_magnetization_mub_per_fu": 0.00, "crystal_system": "tetragonal", "spacegroup": "I-42d (122)", "lattice_angstrom": [[5.6849, -0.0137, 0.0000], [-2.8240, 4.9339, 0.0000], [-1.4305, -2.4601, 4.9214]], "species": ["Hf", "Hf", "Be", "Pb", "Pb", "Be", "Be", "Be"], "fractional_positions": [[0.7500, 0.2500, 0.5000], [0.5000, 0.5000, 0.0000], [0.3611, 0.8750, 0.9861], [0.0000, 0.0000, 0.0000], [0.2500, 0.7500, 0.5000], [0.6250, 0.6389, 0.5139], [0.1250, 0.1111, 0.4861], [0.8889, 0.3750, 0.0139]]}

***

# 2
{"formula": "HfBe2TcPb", "functional": "GGA-PBEsol", "state": "optimized geometry", "e_form_kj_per_mol_atoms": 81.54, "total_magnetization_mub_per_fu": 0.00, "crystal_system": "tetragonal", "spacegroup": "P4/mmm (123)", "lattice_angstrom": [[4.2263, 0.0000, 0.0000], [0.0000, 4.2263, 0.0000], [0.0000, 0.0000, 5.0429]], "species": ["Pb", "Tc", "Be", "Hf", "Be"], "fractional_positions": [[0.0000, 0.0000, 0.5000], [0.0000, 0.0000, 0.0000], [0.5000, 0.0000, 0.0000], [0.5000, 0.5000, 0.5000], [0.0000, 0.5000, 0.0000]]}

***

# 3
{"formula": "HfZr2BePb", "functional": "GGA-PBEsol", "state": "optimized geometry", "e_form_kj_per_mol_atoms": 132.34, "total_magnetization_mub_per_fu": 0.00, "crystal_system": "tetragonal", "spacegroup": "P4/mmm (123)", "lattice_angstrom": [[5.0322, 0.0000, 0.0000], [0.0000, 5.0322, 0.0000], [0.0000, 0.0000, 5.3901]], "species": ["Zr", "Be", "Pb", "Hf", "Zr"], "fractional_positions": [[0.5000, 0.0000, 0.0000], [0.5000, 0.5000, 0.5000], [0.0000, 0.0000, 0.5000], [0.0000, 0.0000, 0.0000], [0.0000, 0.5000, 0.0000]]}

***

# 4
{"formula": "HfZrBePb2", "functional": "GGA-PBEsol", "state": "optimized geometry", "e_form_kj_per_mol_atoms": 100.31, "total_magnetization_mub_per_fu": 0.60, "crystal_system": "tetragonal", "spacegroup": "P4/mmm (123)", "lattice_angstrom": [[4.5551, 0.0000, 0.0000], [0.0000, 5.3692, 0.0000], [0.0000, 0.0000, 5.3692]], "species": ["Be", "Pb", "Hf", "Pb", "Zr"], "fractional_positions": [[0.5000, 0.0000, 0.0000], [0.0000, 0.5000, 0.0000], [0.0000, 0.0000, 0.0000], [0.0000, 0.0000, 0.5000], [0.5000, 0.5000, 0.5000]]}